First-principles (PBE) data for an optimized crystal structure of Cs2PrPaS4, as listed in Alexandria via LeMat-Bulk.

Output
* symmetry: No. 10

a b c (Å): 7.2533 4.1653 8.4800
angles (deg): 90.00 106.35 90.00
Atoms (fractional coordinates):
Cs  0.0000  0.0000  0.0000
Cs  0.5000  0.5000  0.0000
Pr  0.0000  0.5000  0.5000
Pa  0.5000  0.0000  0.5000
S  0.2434  0.0000  0.6882
S  0.2835  0.5000  0.3154
S  0.7165  0.5000  0.6846
S  0.7566  0.0000  0.3118


First-principles (PBE) data for an optimized crystal structure of Cs3Pr3PaSe8, as listed in Alexandria via LeMat-Bulk.

Output
* symmetry: No. 166

a b c (Å): 9.9271 9.9271 9.9271
angles (deg): 52.22 52.22 52.22
Atoms (fractional coordinates):
Cs  0.0000  0.5000  0.5000
Cs  0.5000  0.0000  0.5000
Cs  0.5000  0.5000  0.0000
Pr  0.0000  0.0000  0.5000
Pr  0.0000  0.5000  0.0000
Pr  0.5000  0.0000  0.0000
Pa  0.5000  0.5000  0.5000
Se  0.2304  0.2304  0.2304
Se  0.2410  0.7216  0.7216
Se  0.2784  0.2784  0.7590
Se  0.2784  0.7590  0.2784
Se  0.7216  0.2410  0.7216
Se  0.7216  0.7216  0.2410
Se  0.7590  0.2784  0.2784
Se  0.7696  0.7696  0.7696


First-principles (PBE) data for an optimized crystal structure of Cs4PrPa3Se12, as listed in Alexandria via LeMat-Bulk.

Output
* symmetry: No. 229

a b c (Å): 9.7318 9.7318 9.7318
angles (deg): 109.47 109.47 109.47
Atoms (fractional coordinates):
Cs  0.0000  0.0000  0.5000
Cs  0.0000  0.5000  0.0000
Cs  0.5000  0.0000  0.0000
Cs  0.5000  0.5000  0.5000
Pr  0.0000  0.0000  0.0000
Pa  0.0000  0.5000  0.5000
Pa  0.5000  0.0000  0.5000
Pa  0.5000  0.5000  0.0000
Se  0.0000  0.2604  0.2604
Se  0.0000  0.7396  0.7396
Se  0.2500  0.5000  0.7500
Se  0.2500  0.7500  0.5000
Se  0.2604  0.0000  0.2604
Se  0.2604  0.2604  0.0000
Se  0.5000  0.2500  0.7500
Se  0.5000  0.7500  0.2500
Se  0.7396  0.0000  0.7396
Se  0.7396  0.7396  0.0000
Se  0.7500  0.2500  0.5000
Se  0.7500  0.5000  0.2500


First-principles (PBE) data for an optimized crystal structure of Cs2Pr2PaSe6, as listed in Alexandria via LeMat-Bulk.

Output
* symmetry: No. 12

a b c (Å): 7.4861 7.4861 8.9683
angles (deg): 98.27 98.27 119.72
Atoms (fractional coordinates):
Cs  0.1699  0.8301  0.0000
Cs  0.8301  0.1699  0.0000
Pr  0.3336  0.6664  0.5000
Pr  0.6664  0.3336  0.5000
Pa  0.0000  0.0000  0.5000
Se  0.0632  0.3834  0.6858
Se  0.2546  0.2546  0.3148
Se  0.3834  0.0632  0.6858
Se  0.6166  0.9368  0.3142
Se  0.7454  0.7454  0.6852
Se  0.9368  0.6166  0.3142


First-principles (PBE) data for an optimized crystal structure of CsPrPaSe4, as listed in Alexandria via LeMat-Bulk.

Output
* symmetry: No. 74

a b c (Å): 9.0588 9.0588 9.0588
angles (deg): 120.44 116.84 92.40
Atoms (fractional coordinates):
Cs  0.3875  0.1375  0.2500
Cs  0.6125  0.8625  0.7500
Pr  0.0000  0.5000  0.5000
Pr  0.5000  0.5000  0.0000
Pa  0.0000  0.0000  0.5000
Pa  0.0000  0.5000  0.0000
Se  0.1803  0.7382  0.4421
Se  0.2038  0.2618  0.9421
Se  0.2263  0.2672  0.5410
Se  0.2263  0.6853  0.9590
Se  0.7737  0.3147  0.0410
Se  0.7737  0.7328  0.4590
Se  0.7962  0.7382  0.0579
Se  0.8197  0.2618  0.5579


First-principles (PBE) data for an optimized crystal structure of Cs3Pr2PaSe6, as listed in Alexandria via LeMat-Bulk.

Output
* symmetry: No. 12

a b c (Å): 7.5683 7.5683 8.8014
angles (deg): 98.24 98.24 119.99
Atoms (fractional coordinates):
Cs  0.0000  0.0000  0.0000
Cs  0.3300  0.6700  0.0000
Cs  0.6700  0.3300  0.0000
Pr  0.1663  0.8337  0.5000
Pr  0.8337  0.1663  0.5000
Pa  0.5000  0.5000  0.5000
Se  0.1155  0.4365  0.3092
Se  0.2434  0.2434  0.6921
Se  0.4365  0.1155  0.3092
Se  0.5635  0.8845  0.6908
Se  0.7566  0.7566  0.3079
Se  0.8845  0.5635  0.6908


First-principles (PBE) data for an optimized crystal structure of CsPa2Pt2S6, as listed in Alexandria via LeMat-Bulk.

Output
* symmetry: No. 2

a b c (Å): 7.0921 7.1133 7.6696
angles (deg): 114.42 92.46 119.87
Atoms (fractional coordinates):
Cs  0.0000  0.0000  0.0000
Pa  0.3390  0.3325  0.6737
Pa  0.6610  0.6675  0.3263
Pt  0.2825  0.8458  0.3206
Pt  0.7175  0.1542  0.6794
S  0.0790  0.8370  0.5472
S  0.3354  0.5932  0.0505
S  0.4790  0.2499  0.3537
S  0.5210  0.7501  0.6463
S  0.6646  0.4068  0.9495
S  0.9210  0.1630  0.4528


First-principles (PBE) data for an optimized crystal structure of CsPa4Pt3S12, as listed in Alexandria via LeMat-Bulk.

Output
* symmetry: No. 204

a b c (Å): 8.5132 8.5132 8.5132
angles (deg): 109.47 109.47 109.47
Atoms (fractional coordinates):
Cs  0.0000  0.0000  0.0000
Pa  0.0000  0.0000  0.5000
Pa  0.0000  0.5000  0.0000
Pa  0.5000  0.0000  0.0000
Pa  0.5000  0.5000  0.5000
Pt  0.0000  0.5000  0.5000
Pt  0.5000  0.0000  0.5000
Pt  0.5000  0.5000  0.0000
S  0.1567  0.8357  0.3210
S  0.1643  0.3210  0.4853
S  0.1643  0.6790  0.8433
S  0.3210  0.1567  0.8357
S  0.3210  0.4853  0.1643
S  0.4853  0.1643  0.3210
S  0.5147  0.8357  0.6790
S  0.6790  0.5147  0.8357
S  0.6790  0.8433  0.1643
S  0.8357  0.3210  0.1567
S  0.8357  0.6790  0.5147
S  0.8433  0.1643  0.6790


First-principles (PBE) data for an optimized crystal structure of Cs2PaPtS4, as listed in Alexandria via LeMat-Bulk.

Output
* symmetry: No. 82

a b c (Å): 7.0190 7.0190 7.0190
angles (deg): 112.74 112.74 103.11
Atoms (fractional coordinates):
Cs  0.0000  0.0000  0.0000
Cs  0.7500  0.2500  0.5000
Pa  0.2500  0.7500  0.5000
Pt  0.5000  0.5000  0.0000
S  0.2851  0.1528  0.6069
S  0.3218  0.7149  0.8677
S  0.5458  0.6782  0.3931
S  0.8472  0.4542  0.1323


First-principles (PBE) data for an optimized crystal structure of CsPaSb2Pt2, as listed in Alexandria via LeMat-Bulk.

Output
* symmetry: No. 164

a b c (Å): 4.4644 4.4644 10.2983
angles (deg): 90.00 90.00 120.00
Atoms (fractional coordinates):
Cs  0.0000  0.0000  0.0000
Pa  0.0000  0.0000  0.5000
Sb  0.3333  0.6667  0.7190
Sb  0.6667  0.3333  0.2810
Pt  0.3333  0.6667  0.3491
Pt  0.6667  0.3333  0.6509


First-principles (PBE) data for an optimized crystal structure of CsPa4Pt3Se12, as listed in Alexandria via LeMat-Bulk.

Output
* symmetry: No. 204

a b c (Å): 8.9325 8.9325 8.9325
angles (deg): 109.47 109.47 109.47
Atoms (fractional coordinates):
Cs  0.0000  0.0000  0.0000
Pa  0.0000  0.0000  0.5000
Pa  0.0000  0.5000  0.0000
Pa  0.5000  0.0000  0.0000
Pa  0.5000  0.5000  0.5000
Pt  0.0000  0.5000  0.5000
Pt  0.5000  0.0000  0.5000
Pt  0.5000  0.5000  0.0000
Se  0.1556  0.3212  0.8344
Se  0.1656  0.4868  0.3212
Se  0.1656  0.8444  0.6788
Se  0.3212  0.1656  0.4868
Se  0.3212  0.8344  0.1556
Se  0.4868  0.3212  0.1656
Se  0.5132  0.6788  0.8344
Se  0.6788  0.1656  0.8444
Se  0.6788  0.8344  0.5132
Se  0.8344  0.1556  0.3212
Se  0.8344  0.5132  0.6788
Se  0.8444  0.6788  0.1656


First-principles (PBE) data for an optimized crystal structure of Cs2PaPt2Se4, as listed in Alexandria via LeMat-Bulk.

Output
* symmetry: No. 2

a b c (Å): 4.6747 7.9984 9.7568
angles (deg): 112.49 100.53 97.01
Atoms (fractional coordinates):
Cs  0.1988  0.1928  0.3872
Cs  0.8012  0.8072  0.6128
Pa  0.0000  0.5000  0.0000
Pt  0.1056  0.8438  0.9983
Pt  0.8944  0.1562  0.0017
Se  0.1517  0.6540  0.3055
Se  0.4150  0.2375  0.9997
Se  0.5850  0.7625  0.0003
Se  0.8483  0.3460  0.6945


First-principles (PBE) data for an optimized crystal structure of CsPaPtSe4, as listed in Alexandria via LeMat-Bulk.

Output
* symmetry: No. 11

a b c (Å): 6.7449 6.3383 9.9598
angles (deg): 90.00 104.86 90.00
Atoms (fractional coordinates):
Cs  0.2313  0.2500  0.0356
Cs  0.7687  0.7500  0.9644
Pa  0.2469  0.2500  0.5419
Pa  0.7531  0.7500  0.4581
Pt  0.2475  0.7500  0.3945
Pt  0.7525  0.2500  0.6055
Se  0.0236  0.5129  0.6940
Se  0.0236  0.9871  0.6940
Se  0.4524  0.7500  0.2103
Se  0.4719  0.7500  0.6243
Se  0.5281  0.2500  0.3757
Se  0.5476  0.2500  0.7897
Se  0.9764  0.0129  0.3060
Se  0.9764  0.4871  0.3060


First-principles (PBE) data for an optimized crystal structure of Cs2PaPtSe4, as listed in Alexandria via LeMat-Bulk.

Output
* symmetry: No. 70

a b c (Å): 15.2386 13.4575 8.4394
angles (deg): 84.92 61.60 33.48
Atoms (fractional coordinates):
Cs  0.0554  0.0554  0.6946
Cs  0.3054  0.3054  0.9446
Cs  0.6946  0.6946  0.0554
Cs  0.9446  0.9446  0.3054
Pa  0.1250  0.1250  0.1250
Pa  0.8750  0.8750  0.8750
Pt  0.3750  0.3750  0.3750
Pt  0.6250  0.6250  0.6250
Se  0.0112  0.3350  0.4504
Se  0.2966  0.5496  0.6650
Se  0.3350  0.0112  0.7034
Se  0.4504  0.7034  0.0112
Se  0.5496  0.2966  0.9888
Se  0.6650  0.9888  0.2966
Se  0.7034  0.4504  0.3350
Se  0.9888  0.6650  0.5496


First-principles (PBE) data for an optimized crystal structure of Cs4PuPa3S12, as listed in Alexandria via LeMat-Bulk.

Output
* symmetry: No. 229

a b c (Å): 9.1742 9.1742 9.1742
angles (deg): 109.47 109.47 109.47
Atoms (fractional coordinates):
Cs  0.0000  0.0000  0.5000
Cs  0.0000  0.5000  0.0000
Cs  0.5000  0.0000  0.0000
Cs  0.5000  0.5000  0.5000
Pu  0.0000  0.0000  0.0000
Pa  0.0000  0.5000  0.5000
Pa  0.5000  0.0000  0.5000
Pa  0.5000  0.5000  0.0000
S  0.0000  0.2508  0.2508
S  0.0000  0.7492  0.7492
S  0.2500  0.5000  0.7500
S  0.2500  0.7500  0.5000
S  0.2508  0.0000  0.2508
S  0.2508  0.2508  0.0000
S  0.5000  0.2500  0.7500
S  0.5000  0.7500  0.2500
S  0.7492  0.0000  0.7492
S  0.7492  0.7492  0.0000
S  0.7500  0.2500  0.5000
S  0.7500  0.5000  0.2500


First-principles (PBE) data for an optimized crystal structure of Cs4Pu3PaS12, as listed in Alexandria via LeMat-Bulk.

Output
* symmetry: No. 229

a b c (Å): 9.1278 9.1278 9.1278
angles (deg): 109.47 109.47 109.47
Atoms (fractional coordinates):
Cs  0.0000  0.0000  0.5000
Cs  0.0000  0.5000  0.0000
Cs  0.5000  0.0000  0.0000
Cs  0.5000  0.5000  0.5000
Pu  0.0000  0.5000  0.5000
Pu  0.5000  0.0000  0.5000
Pu  0.5000  0.5000  0.0000
Pa  0.0000  0.0000  0.0000
S  0.0000  0.2496  0.2496
S  0.0000  0.7504  0.7504
S  0.2496  0.0000  0.2496
S  0.2496  0.2496  0.0000
S  0.2500  0.5000  0.7500
S  0.2500  0.7500  0.5000
S  0.5000  0.2500  0.7500
S  0.5000  0.7500  0.2500
S  0.7504  0.0000  0.7504
S  0.7500  0.2500  0.5000
S  0.7500  0.5000  0.2500
S  0.7504  0.7504  0.0000


First-principles (PBE) data for an optimized crystal structure of Cs2PuPaS6, as listed in Alexandria via LeMat-Bulk.

Output
* symmetry: No. 225

a b c (Å): 7.4702 7.4702 7.4702
angles (deg): 60.00 60.00 60.00
Atoms (fractional coordinates):
Cs  0.2500  0.2500  0.2500
Cs  0.7500  0.7500  0.7500
Pu  0.0000  0.0000  0.0000
Pa  0.5000  0.5000  0.5000
S  0.2501  0.2501  0.7499
S  0.2501  0.7499  0.2501
S  0.2501  0.7499  0.7499
S  0.7499  0.2501  0.2501
S  0.7499  0.2501  0.7499
S  0.7499  0.7499  0.2501


First-principles (PBE) data for an optimized crystal structure of Cs3Pu3PaSe8, as listed in Alexandria via LeMat-Bulk.

Output
* symmetry: No. 166

a b c (Å): 9.8388 9.8388 9.8388
angles (deg): 51.55 51.55 51.55
Atoms (fractional coordinates):
Cs  0.0000  0.5000  0.5000
Cs  0.5000  0.0000  0.5000
Cs  0.5000  0.5000  0.0000
Pu  0.0000  0.0000  0.5000
Pu  0.0000  0.5000  0.0000
Pu  0.5000  0.0000  0.0000
Pa  0.5000  0.5000  0.5000
Se  0.2275  0.2275  0.2275
Se  0.2389  0.7212  0.7212
Se  0.2788  0.2788  0.7611
Se  0.2788  0.7611  0.2788
Se  0.7212  0.2389  0.7212
Se  0.7212  0.7212  0.2389
Se  0.7611  0.2788  0.2788
Se  0.7725  0.7725  0.7725


First-principles (PBE) data for an optimized crystal structure of Cs3Pu2PaSe6, as listed in Alexandria via LeMat-Bulk.

Output
* symmetry: No. 12

a b c (Å): 7.4974 7.4974 8.7492
angles (deg): 98.20 98.20 119.99
Atoms (fractional coordinates):
Cs  0.0000  0.0000  0.0000
Cs  0.3307  0.6693  0.0000
Cs  0.6693  0.3307  0.0000
Pu  0.1664  0.8336  0.5000
Pu  0.8336  0.1664  0.5000
Pa  0.5000  0.5000  0.5000
Se  0.1148  0.4381  0.3141
Se  0.2393  0.2393  0.6870
Se  0.4381  0.1148  0.3141
Se  0.5619  0.8852  0.6859
Se  0.7607  0.7607  0.3130
Se  0.8852  0.5619  0.6859


| no. | ΔE_f (raw) (meV/atom) |
| --- | --- |
| 1 | -1605 |
| 2 | -1671 |
| 3 | -1368 |
| 4 | -1654 |
| 5 | -1479 |
| 6 | -1572 |
| 7 | -1066 |
| 8 | -1079 |
| 9 | -976 |
| 10 | -760 |
| 11 | -888 |
| 12 | -787 |
| 13 | -977 |
| 14 | -932 |
| 15 | -1486 |
| 16 | -1310 |
| 17 | -1389 |
| 18 | -1468 |
| 19 | -1429 |